Arrangement a

AcTb3Y4 | PBE | optimized geometry

## Properties
DOS at the Fermi energy: 14.51 states/eV per cell

Lattice parameters (Å, degrees): 9.003 9.003 9.003 157.63 97.92 86.41
Positions (direct):
Ac 0.000 0.000 0.000
Tb 0.244 0.744 0.500
Tb 0.500 0.500 0.000
Tb 0.756 0.256 0.500
Y 0.119 0.865 0.255
Y 0.390 0.135 0.255
Y 0.610 0.865 0.745
Y 0.881 0.135 0.745


Arrangement b

AcTb3Y4 | PBE | optimized geometry

## Properties
DOS at the Fermi energy: 17.56 states/eV per cell

Lattice parameters (Å, degrees): 8.996 8.996 3.477 90.00 90.00 96.80
Positions (direct):
Ac 0.000 0.000 0.000
Tb 0.000 0.500 0.500
Tb 0.500 0.000 0.500
Tb 0.500 0.500 0.000
Y 0.260 0.740 0.000
Y 0.263 0.263 0.500
Y 0.737 0.737 0.500
Y 0.740 0.260 0.000


Computed relative energies in units of kJ/mol of atoms: arrangement a 0.0; arrangement b 27.5


Arrangement a

AcTb2Y2 | PBE | optimized geometry

## Properties
DOS at the Fermi energy: 18.52 states/eV per cell

Lattice parameters (Å, degrees): 14.638 11.931 8.857 88.23 54.56 37.21
Positions (direct):
Ac 0.125 0.125 0.125
Ac 0.875 0.875 0.875
Tb 0.203 0.547 0.203
Tb 0.453 0.797 0.453
Tb 0.547 0.203 0.547
Tb 0.797 0.453 0.797
Y 0.000 0.000 0.000
Y 0.000 0.000 0.500
Y 0.000 0.500 0.000
Y 0.500 0.000 0.000


Arrangement b

AcTb2Y2 | PBE | optimized geometry

## Properties
DOS at the Fermi energy: 17.16 states/eV per cell

Lattice parameters (Å, degrees): 9.569 9.569 9.569 144.18 135.93 58.04
Positions (direct):
Ac 0.367 0.117 0.250
Ac 0.633 0.883 0.750
Tb 0.183 0.690 0.493
Tb 0.303 0.310 0.993
Tb 0.697 0.690 0.007
Tb 0.817 0.310 0.507
Y 0.129 0.879 0.250
Y 0.248 0.498 0.750
Y 0.752 0.502 0.250
Y 0.871 0.121 0.750


Computed relative energies in units of kJ/mol of atoms: arrangement a 26.5; arrangement b 0.0